A plane-wave DFT calculation with PBE-GGA was carried out for an optimized crystal structure of Ce2PrSb3.

Summary:
volume = 32.68 A^3/atom
uncorrected formation energy = -1.09 eV/atom
E = -5.931 eV per atom
total magnetization = 3.28 Bohr magnetons per cell
DOS at the Fermi energy = 25.90 states/eV per cell

a b c (Å): 4.520 6.394 13.571
angles (deg): 90.00 90.00 90.00
Space group Immm (No. 71)
One atom of each set of equivalent atoms:
Ce 0.000 0.000 0.166 (multiplicity 4)
Pr 0.000 0.000 0.500 (multiplicity 2)
Sb 0.000 0.500 0.170 (multiplicity 4)
Sb 0.000 0.500 0.500 (multiplicity 2)